Mg2Ga6Tc | PBE-GGA | relaxed

Cell and atoms, written as POSCAR:
```
Mg2Ga6Tc
1.0
4.662 -2.690 0.000
4.662 2.690 0.000
-0.026 0.000 6.466
Mg Ga Tc
2 6 1
Cartesian
1.556 0.000 0.408
7.743 0.000 6.058
3.877 1.352 2.090
3.079 0.000 4.367
5.422 1.352 4.376
3.877 -1.352 2.090
6.220 0.000 2.100
5.422 -1.352 4.376
4.662 0.000 0.000
```

Results
The calculated volume comes out at 18.0 A^3/atom. For the total energy, the calculation gives -3.64 eV/atom. As for the symmetry: No. 12.

Mg3Ga9Tc2 | PBE-GGA | relaxed

Cell and atoms, written as POSCAR:
```
Mg3Ga9Tc2
1.0
-2.058 4.983 5.917
2.058 -4.983 5.917
2.058 4.983 -5.917
Mg Ga Tc
3 9 2
Cartesian
0.000 0.000 0.000
0.000 0.000 3.420
0.000 0.000 8.414
2.058 -1.314 1.615
2.058 -2.064 4.231
2.058 1.314 1.615
0.000 2.918 1.686
0.000 4.983 0.000
2.058 2.064 4.231
0.000 3.669 4.302
0.000 7.047 1.686
0.000 6.296 4.302
2.058 3.478 0.000
0.000 1.504 5.917
```

Results
The calculated volume comes out at 17.3 A^3/atom. For the total energy, the calculation gives -3.89 eV/atom. As for the symmetry: No. 71.

Mg2GaTc | PBE-GGA | relaxed

Cell and atoms, written as POSCAR:
```
Mg2GaTc
1.0
-3.663 3.663 2.654
3.663 -3.663 2.654
3.663 3.663 -2.654
Mg Ga Tc
4 2 2
Cartesian
5.495 1.796 -0.663
1.796 1.832 0.663
-1.832 1.868 1.990
1.868 1.832 3.317
0.000 0.000 0.000
0.000 3.663 1.327
3.663 0.000 1.327
0.000 0.000 2.654
```

Results
The calculated volume comes out at 17.8 A^3/atom. For the total energy, the calculation gives -3.79 eV/atom. As for the symmetry: No. 122.

Mg2GaTc | PBE-GGA | relaxed

Cell and atoms, written as POSCAR:
```
Mg2GaTc
1.0
1.438 0.830 10.051
-1.438 0.830 10.051
0.000 -1.660 10.051
Mg Ga Tc
2 1 1
Cartesian
0.000 0.000 2.642
0.000 0.000 27.510
0.000 0.000 15.076
0.000 0.000 0.000
```

Results
The calculated volume comes out at 18.0 A^3/atom. For the total energy, the calculation gives -3.71 eV/atom. As for the symmetry: No. 166.

MgGa4Tc | PBE-GGA | relaxed

Cell and atoms, written as POSCAR:
```
MgGa4Tc
1.0
-4.374 4.853 2.287
4.374 -4.853 2.287
4.374 4.853 -2.287
Mg Ga Tc
2 8 2
Cartesian
0.000 2.426 0.007
4.374 2.426 2.280
1.527 0.000 0.000
7.222 0.000 0.000
2.995 2.426 -0.006
5.754 2.426 -0.006
1.527 4.853 0.000
2.848 0.000 2.287
-1.379 2.426 2.292
1.379 2.426 2.292
4.374 0.000 0.000
0.000 0.000 2.287
```

Results
The calculated volume comes out at 16.2 A^3/atom. For the total energy, the calculation gives -4.06 eV/atom. As for the symmetry: No. 74.

MgGa2Tc2 | PBE-GGA | relaxed

Cell and atoms, written as POSCAR:
```
MgGa2Tc2
1.0
6.734 0.000 0.000
0.000 6.734 0.000
0.000 0.000 3.376
Mg Ga Tc
2 4 4
Cartesian
0.000 0.000 0.000
3.367 3.367 0.000
0.887 2.479 0.000
2.479 5.846 0.000
4.254 0.887 0.000
5.846 4.254 0.000
1.124 4.491 1.688
2.242 1.124 1.688
4.491 5.609 1.688
5.609 2.242 1.688
```

Results
The calculated volume comes out at 15.3 A^3/atom. For the total energy, the calculation gives -5.78 eV/atom. As for the symmetry: No. 127.

MgGaTc2 | PBE-GGA | relaxed

Cell and atoms, written as POSCAR:
```
MgGaTc2
1.0
-3.587 3.587 2.584
3.587 -3.587 2.584
3.587 3.587 -2.584
Mg Ga Tc
2 2 4
Cartesian
0.000 0.000 0.000
0.000 3.587 1.292
3.587 0.000 1.292
0.000 0.000 2.584
1.793 -1.579 1.938
2.007 1.793 0.646
1.793 5.166 -0.646
1.579 1.793 3.230
```

Results
The calculated volume comes out at 16.6 A^3/atom. For the total energy, the calculation gives -5.82 eV/atom. As for the symmetry: No. 122.

Mg2GaTc2 | PBE-GGA | relaxed

Cell and atoms, written as POSCAR:
```
Mg2GaTc2
1.0
6.409 0.000 0.000
0.000 6.409 0.000
0.000 0.000 4.340
Mg Ga Tc
4 2 4
Cartesian
1.077 2.127 0.000
2.127 5.332 0.000
4.281 1.077 0.000
5.332 4.281 0.000
0.000 0.000 2.170
3.204 3.204 2.170
0.820 4.024 2.170
2.385 0.820 2.170
4.024 5.589 2.170
5.589 2.385 2.170
```

Results
The calculated volume comes out at 17.8 A^3/atom. For the total energy, the calculation gives -5.34 eV/atom. As for the symmetry: No. 127.